ZrVO2F: optimized geometry, PBE+U.

Output
Electronic total energy = -7.5297 eV/atom
Space group = P4/mmm (123)
Density = 4368 kg/m³

Cell: 4.167 4.167 4.229 Å, 90.00 90.00 90.00°
Last column: magnetic moment on the atom in μB.
Element x y z (fractional)
O  0.500  0.000  0.000  -0.02
O  0.000  0.500  0.000  -0.02
Zr  0.000  0.000  0.000  0.11
F  0.000  0.000  0.500  0.03
V  0.500  0.500  0.500  3.22